Record 1
Entry from Alexandria via LeMat-Bulk: an optimized crystal structure of TlNi2As2 (GGA-PBE).

Cell lengths 4.003, 4.003, 12.480 Å; angles 90.00, 90.00, 90.00 degrees
Space group I4/mmm (No. 139)
Inequivalent atoms, fractional coordinates:
Tl  0.000  0.000  0.000 [2 per cell]
Ni  0.000  0.500  0.250 [4 per cell]
As  0.000  0.000  0.348 [4 per cell]

Results
For the energy above the most stable polymorph in this dataset, the calculation gives 0 kJ/mol of formula units. As for the spin magnetization: 0.00 Bohr magnetons per cell. As for the formation energy from the elements: -0.80 eV per formula unit. Its volume is 20.00 Å³ per atom.


Record 2
Entry from Alexandria via LeMat-Bulk: an optimized crystal structure of Hf6Zn5Pd (GGA-PBE).

Cell lengths 4.695, 6.555, 14.130 Å; angles 90.00, 90.00, 90.00 degrees
Space group Immm (No. 71)
Inequivalent atoms, fractional coordinates:
Hf  0.000  0.248  0.000 [4 per cell]
Hf  0.000  0.251  0.333 [8 per cell]
Zn  0.000  0.000  0.167 [4 per cell]
Zn  0.000  0.500  0.167 [4 per cell]
Zn  0.000  0.500  0.500 [2 per cell]
Pd  0.000  0.000  0.500 [2 per cell]

Results
As for the spin magnetization: 0.00 Bohr magnetons per cell. As for the formation energy from the elements: -2.84 eV per formula unit. Its volume is 18.12 Å³ per atom.


Record 3
Entry from Alexandria via LeMat-Bulk: an optimized crystal structure of CsKBe2As (GGA-PBE).

Cell lengths 5.756, 5.756, 7.119 Å; angles 90.00, 90.00, 90.00 degrees
Space group P4/mmm (No. 123)
Inequivalent atoms, fractional coordinates:
Cs  0.000  0.000  0.000 [1 per cell]
K  0.000  0.000  0.500 [1 per cell]
Be  0.000  0.500  0.500 [2 per cell]
As  0.500  0.500  0.000 [1 per cell]

Results
As for the spin magnetization: 1.27 Bohr magnetons per cell. As for the formation energy from the elements: 8.21 eV per formula unit. Its volume is 47.17 Å³ per atom.


Record 4
Entry from Alexandria via LeMat-Bulk: an optimized crystal structure of Cs3Sn2Br6 (GGA-PBE).

Cell lengths 5.914, 5.914, 26.555 Å; angles 90.00, 90.00, 90.00 degrees
Space group I4/mmm (No. 139)
Inequivalent atoms, fractional coordinates:
Cs  0.000  0.000  0.000 [2 per cell]
Cs  0.000  0.000  0.179 [4 per cell]
Sn  0.000  0.000  0.430 [4 per cell]
Br  0.000  0.000  0.314 [4 per cell]
Br  0.000  0.500  0.082 [8 per cell]

Results
As for the raw formation energy: -1.211 eV per atom. As for the spin magnetization: 1.73 Bohr magnetons per cell. Its volume is 42.22 Å³ per atom.


Record 5
Entry from Alexandria via LeMat-Bulk: an optimized crystal structure of LaDy2Ir (GGA-PBE).

Cell lengths 3.8304, 3.8304, 31.6856 Å; angles 90.00, 90.00, 120.00 degrees
Space group R-3m (No. 166, hexagonal axes)
Inequivalent atoms, fractional coordinates:
La  0.0000  0.0000  0.0000 [3 per cell]
Dy  0.0000  0.0000  0.1161 [6 per cell]
Ir  0.0000  0.0000  0.5000 [3 per cell]

Results
For the energy above the most stable polymorph in this dataset, the calculation gives 129 kJ/mol of formula units. As for the spin magnetization: 0.00 Bohr magnetons per cell. As for the formation energy from the elements: -0.86 eV per formula unit. Its volume is 33.55 Å³ per atom.


Record 6
Entry from Alexandria via LeMat-Bulk: an optimized crystal structure of Tc2MoAs (GGA-PBE).

Cell lengths 3.045, 4.402, 8.817 Å; angles 90.00, 90.00, 90.00 degrees
Space group Imm2 (No. 44)
Inequivalent atoms, fractional coordinates:
Tc  0.000  0.000  0.000 [2 per cell]
Tc  0.000  0.500  0.235 [2 per cell]
Mo  0.000  0.000  0.464 [2 per cell]
As  0.000  0.500  0.729 [2 per cell]

Results
As for the spin magnetization: 0.00 Bohr magnetons per cell. As for the formation energy from the elements: 0.00 eV per formula unit. Its volume is 14.77 Å³ per atom.


Record 7
Entry from Alexandria via LeMat-Bulk: an optimized crystal structure of BaCu3Bi (GGA-PBE).

Cell lengths 5.214, 5.214, 5.214 Å; angles 90.00, 90.00, 90.00 degrees
Space group Pm-3m (No. 221)
Inequivalent atoms, fractional coordinates:
Ba  0.000  0.000  0.000 [1 per cell]
Cu  0.000  0.500  0.500 [3 per cell]
Bi  0.500  0.500  0.500 [1 per cell]

Results
For the energy above the most stable polymorph in this dataset, the calculation gives 0 kJ/mol of formula units. As for the spin magnetization: 0.00 Bohr magnetons per cell. As for the formation energy from the elements: 1.48 eV per formula unit. Its volume is 28.35 Å³ per atom.


Record 8
Entry from Alexandria via LeMat-Bulk: an optimized crystal structure of HoNpNiS4 (GGA-PBE).

Cell lengths 6.423, 5.640, 7.624 Å; angles 90.00, 106.38, 90.00 degrees
Space group P2_1/m (No. 11)
Inequivalent atoms, fractional coordinates:
Ho  0.234  0.250  0.433 [2 per cell]
Np  0.254  0.250  0.940 [2 per cell]
Ni  0.259  0.750  0.177 [2 per cell]
S  0.069  0.750  0.384 [2 per cell]
S  0.072  0.750  0.891 [2 per cell]
S  0.485  0.511  0.743 [4 per cell]

Results
As for the raw formation energy: -1.296 eV per atom. As for the spin magnetization: 6.40 Bohr magnetons per cell. Its volume is 18.92 Å³ per atom.